Record 1
# LuTaTiO6 (meta-GGA SCAN, PBEsol geometry)
# Final energy (eV/atom): -22.98
# Raw formation energy (eV per formula unit): -31.5
data_LuTaTiO6
_chemical_formula_sum 'Lu4 Ta4 Ti4 O24'
_symmetry_space_group_name_H-M 'P 1 21/c 1'
_symmetry_Int_Tables_number 14
_cell_length_a 5.111
_cell_length_b 14.502
_cell_length_c 5.468
_cell_angle_alpha 90.00
_cell_angle_beta 90.18
_cell_angle_gamma 90.00
loop_
_symmetry_equiv_pos_as_xyz
'x,y,z'
'-x,-y,-z'
'-x,y+1/2,-z+1/2'
'x,-y+1/2,z+1/2'
loop_
_atom_site_label
_atom_site_type_symbol
_atom_site_fract_x
_atom_site_fract_y
_atom_site_fract_z
Lu1 Lu 0.246 0.000 0.229
Ta1 Ta 0.319 0.167 0.679
Ti1 Ti 0.184 0.663 0.191
O1 O 0.028 0.090 0.561
O2 O 0.077 0.584 0.417
O3 O 0.145 0.239 0.368
O4 O 0.357 0.741 0.868
O5 O 0.423 0.082 0.914
O6 O 0.471 0.590 0.071

***

Record 2
# TbLuO3 (meta-GGA SCAN, PBEsol geometry)
# Final energy (eV/atom): -28.09
# Raw formation energy (eV per formula unit): -19.7
data_TbLuO3
_chemical_formula_sum 'Tb4 Lu4 O12'
_symmetry_space_group_name_H-M 'P n m a'
_symmetry_Int_Tables_number 62
_cell_length_a 5.820
_cell_length_b 8.150
_cell_length_c 5.542
_cell_angle_alpha 90.00
_cell_angle_beta 90.00
_cell_angle_gamma 90.00
loop_
_symmetry_equiv_pos_as_xyz
'x,y,z'
'-x,-y,-z'
'-x+1/2,-y,z+1/2'
'x+1/2,y,-z+1/2'
'x+1/2,-y+1/2,-z+1/2'
'-x+1/2,y+1/2,z+1/2'
'-x,y+1/2,-z'
'x,-y+1/2,z'
loop_
_atom_site_label
_atom_site_type_symbol
_atom_site_fract_x
_atom_site_fract_y
_atom_site_fract_z
Tb1 Tb 0.058 0.250 0.022
Lu1 Lu 0.000 0.000 0.500
O1 O 0.070 0.750 0.357
O2 O 0.192 0.576 0.811

***

Record 3
# Lu10Ti6O27 (meta-GGA SCAN, PBEsol geometry)
# Final energy (eV/atom): -22.73
# Raw formation energy (eV per formula unit): -159.5
data_Lu10Ti6O27
_chemical_formula_sum 'Lu20 Ti12 O54'
_symmetry_space_group_name_H-M 'C 1 m 1'
_symmetry_Int_Tables_number 8
_cell_length_a 12.547
_cell_length_b 7.062
_cell_length_c 12.144
_cell_angle_alpha 90.00
_cell_angle_beta 110.35
_cell_angle_gamma 90.00
loop_
_symmetry_equiv_pos_as_xyz
'x,y,z'
'x,-y,z'
'x+1/2,y+1/2,z'
'x+1/2,-y+1/2,z'
loop_
_atom_site_label
_atom_site_type_symbol
_atom_site_fract_x
_atom_site_fract_y
_atom_site_fract_z
Lu1 Lu 0.000 0.000 0.000
Lu2 Lu 0.001 0.247 0.256
Lu3 Lu 0.225 0.000 0.754
Lu4 Lu 0.228 0.500 0.223
Lu5 Lu 0.242 0.500 0.724
Lu6 Lu 0.463 0.000 0.002
Lu7 Lu 0.487 0.257 0.741
Lu8 Lu 0.494 0.500 0.487
Ti1 Ti 0.226 0.000 0.243
Ti2 Ti 0.234 0.259 0.986
Ti3 Ti 0.242 0.245 0.502
Ti4 Ti 0.484 0.000 0.486
O1 O 0.038 0.500 0.653
O2 O 0.042 0.278 0.930
O3 O 0.046 0.500 0.182
O4 O 0.049 0.000 0.675
O5 O 0.061 0.292 0.449
O6 O 0.062 0.000 0.197
O7 O 0.177 0.000 0.503
O8 O 0.186 0.285 0.821
O9 O 0.200 0.250 0.330
O10 O 0.214 0.181 0.127
O11 O 0.224 0.500 0.044
O12 O 0.239 0.500 0.544
O13 O 0.275 0.000 0.944
O14 O 0.303 0.208 0.680
O15 O 0.389 0.000 0.315
O16 O 0.393 0.242 0.515
O17 O 0.397 0.281 0.051
O18 O 0.409 0.500 0.301
O19 O 0.419 0.500 0.810

***

Record 4
# LuTlW2O8 (meta-GGA SCAN, PBEsol geometry)
# Final energy (eV/atom): -28.96
# Raw formation energy (eV per formula unit): -30.6
data_LuTlW2O8
_chemical_formula_sum 'Lu4 Tl4 W8 O32'
_symmetry_space_group_name_H-M 'C 1 2/c 1'
_symmetry_Int_Tables_number 15
_cell_length_a 10.653
_cell_length_b 10.312
_cell_length_c 7.397
_cell_angle_alpha 90.00
_cell_angle_beta 130.71
_cell_angle_gamma 90.00
loop_
_symmetry_equiv_pos_as_xyz
'x,y,z'
'-x,-y,-z'
'-x,y,-z+1/2'
'x,-y,z+1/2'
'x+1/2,y+1/2,z'
'-x+1/2,-y+1/2,-z'
'-x+1/2,y+1/2,-z+1/2'
'x+1/2,-y+1/2,z+1/2'
loop_
_atom_site_label
_atom_site_type_symbol
_atom_site_fract_x
_atom_site_fract_y
_atom_site_fract_z
Lu1 Lu 0.000 0.227 0.250
Tl1 Tl 0.000 0.208 0.750
W1 W 0.198 0.497 0.228
O1 O 0.020 0.390 0.465
O2 O 0.127 0.089 0.192
O3 O 0.191 0.428 0.946
O4 O 0.216 0.158 0.617

***

Record 5
# Lu6UO12 (meta-GGA SCAN, PBEsol geometry)
# Final energy (eV/atom): -30.82
# Raw formation energy (eV per formula unit): -75.2
data_Lu6UO12
_chemical_formula_sum 'Lu18 U3 O36'
_symmetry_space_group_name_H-M 'R -3'
_symmetry_Int_Tables_number 148
_symmetry_space_group_name_Hall '-R 3'
_cell_length_a 9.6703
_cell_length_b 9.6703
_cell_length_c 9.0609
_cell_angle_alpha 90.00
_cell_angle_beta 90.00
_cell_angle_gamma 120.00
loop_
_atom_site_label
_atom_site_type_symbol
_atom_site_fract_x
_atom_site_fract_y
_atom_site_fract_z
Lu1 Lu 0.0347 0.2497 0.1396
U1 U 0.0000 0.0000 0.5000
O1 O 0.0285 0.2180 0.8958
O2 O 0.0322 0.1986 0.3838

***

Record 6
# Lu2W3O12 (meta-GGA SCAN, PBEsol geometry)
# Final energy (eV/atom): -26.04
# Raw formation energy (eV per formula unit): -48.2
data_Lu2W3O12
_chemical_formula_sum 'Lu8 W12 O48'
_symmetry_space_group_name_H-M 'C 1 2/c 1'
_symmetry_Int_Tables_number 15
_cell_length_a 7.459
_cell_length_b 11.003
_cell_length_c 11.085
_cell_angle_alpha 90.00
_cell_angle_beta 108.83
_cell_angle_gamma 90.00
loop_
_symmetry_equiv_pos_as_xyz
'x,y,z'
'-x,-y,-z'
'-x,y,-z+1/2'
'x,-y,z+1/2'
'x+1/2,y+1/2,z'
'-x+1/2,-y+1/2,-z'
'-x+1/2,y+1/2,-z+1/2'
'x+1/2,-y+1/2,z+1/2'
loop_
_atom_site_label
_atom_site_type_symbol
_atom_site_fract_x
_atom_site_fract_y
_atom_site_fract_z
Lu1 Lu 0.167 0.124 0.091
W1 W 0.000 0.133 0.750
W2 W 0.149 0.390 0.555
O1 O 0.053 0.278 0.438
O2 O 0.067 0.462 0.923
O3 O 0.128 0.047 0.457
O4 O 0.133 0.208 0.899
O5 O 0.174 0.037 0.722
O6 O 0.218 0.312 0.707

***

Record 7
# Lu2WO6 (meta-GGA SCAN, PBEsol geometry)
# Final energy (eV/atom): -27.56
# Raw formation energy (eV per formula unit): -30.3
data_Lu2WO6
_chemical_formula_sum 'Lu8 W4 O24'
_symmetry_space_group_name_H-M 'P 1 2/c 1'
_symmetry_Int_Tables_number 13
_cell_length_a 7.471
_cell_length_b 5.212
_cell_length_c 11.097
_cell_angle_alpha 90.00
_cell_angle_beta 105.10
_cell_angle_gamma 90.00
loop_
_symmetry_equiv_pos_as_xyz
'x,y,z'
'-x,-y,-z'
'-x,y,-z+1/2'
'x,-y,z+1/2'
loop_
_atom_site_label
_atom_site_type_symbol
_atom_site_fract_x
_atom_site_fract_y
_atom_site_fract_z
Lu1 Lu 0.000 0.182 0.250
Lu2 Lu 0.296 0.320 0.921
Lu3 Lu 0.500 0.240 0.250
W1 W 0.222 0.244 0.614
O1 O 0.015 0.143 0.885
O2 O 0.130 0.346 0.448
O3 O 0.213 0.478 0.231
O4 O 0.291 0.037 0.776
O5 O 0.349 0.038 0.070
O6 O 0.440 0.460 0.603

***

Record 8
# Lu2WO6 (meta-GGA SCAN, PBEsol geometry)
# Final energy (eV/atom): -27.53
# Raw formation energy (eV per formula unit): -30.0
data_Lu2WO6
_chemical_formula_sum 'Lu16 W8 O48'
_symmetry_space_group_name_H-M 'C 1 2/c 1'
_symmetry_Int_Tables_number 15
_cell_length_a 15.483
_cell_length_b 10.708
_cell_length_c 5.221
_cell_angle_alpha 90.00
_cell_angle_beta 105.23
_cell_angle_gamma 90.00
loop_
_symmetry_equiv_pos_as_xyz
'x,y,z'
'-x,-y,-z'
'-x,y,-z+1/2'
'x,-y,z+1/2'
'x+1/2,y+1/2,z'
'-x+1/2,-y+1/2,-z'
'-x+1/2,y+1/2,-z+1/2'
'x+1/2,-y+1/2,z+1/2'
loop_
_atom_site_label
_atom_site_type_symbol
_atom_site_fract_x
_atom_site_fract_y
_atom_site_fract_z
Lu1 Lu 0.000 0.107 0.250
Lu2 Lu 0.000 0.375 0.750
Lu3 Lu 0.171 0.112 0.882
W1 W 0.158 0.342 0.416
O1 O 0.078 0.460 0.470
O2 O 0.082 0.231 0.575
O3 O 0.091 0.015 0.079
O4 O 0.097 0.281 0.086
O5 O 0.237 0.460 0.363
O6 O 0.246 0.282 0.729

***

Record 9
# Lu2WO6 (meta-GGA SCAN, PBEsol geometry)
# Final energy (eV/atom): -27.53
# Raw formation energy (eV per formula unit): -30.0
data_Lu2WO6
_chemical_formula_sum 'Lu8 W4 O24'
_symmetry_space_group_name_H-M 'P 21 21 21'
_symmetry_Int_Tables_number 19
_cell_length_a 5.095
_cell_length_b 8.865
_cell_length_c 9.652
_cell_angle_alpha 90.00
_cell_angle_beta 90.00
_cell_angle_gamma 90.00
loop_
_symmetry_equiv_pos_as_xyz
'x,y,z'
'-x+1/2,-y,z+1/2'
'x+1/2,-y+1/2,-z'
'-x,y+1/2,-z+1/2'
loop_
_atom_site_label
_atom_site_type_symbol
_atom_site_fract_x
_atom_site_fract_y
_atom_site_fract_z
Lu1 Lu 0.016 0.103 0.467
Lu2 Lu 0.043 0.220 0.874
W1 W 0.038 0.495 0.346
O1 O 0.091 0.840 0.031
O2 O 0.173 0.638 0.818
O3 O 0.181 0.955 0.303
O4 O 0.198 0.643 0.233
O5 O 0.239 0.116 0.068
O6 O 0.247 0.591 0.497

***

Record 10
# Lu4Zr3O12 (meta-GGA SCAN, PBEsol geometry)
# Final energy (eV/atom): -24.39
# Raw formation energy (eV per formula unit): -75.2
data_Lu4Zr3O12
_chemical_formula_sum 'Lu4 Zr3 O12'
_symmetry_space_group_name_H-M 'P -1'
_symmetry_Int_Tables_number 2
_cell_length_a 6.210
_cell_length_b 6.240
_cell_length_c 6.348
_cell_angle_alpha 99.69
_cell_angle_beta 99.05
_cell_angle_gamma 99.41
loop_
_symmetry_equiv_pos_as_xyz
'x,y,z'
'-x,-y,-z'
loop_
_atom_site_label
_atom_site_type_symbol
_atom_site_fract_x
_atom_site_fract_y
_atom_site_fract_z
Lu1 Lu 0.111 0.303 0.136
Lu2 Lu 0.192 0.864 0.389
Zr1 Zr 0.351 0.393 0.677
Zr2 Zr 0.500 0.000 0.000
O1 O 0.082 0.420 0.822
O2 O 0.084 0.185 0.432
O3 O 0.182 0.929 0.060
O4 O 0.325 0.571 0.425
O5 O 0.420 0.076 0.686
O6 O 0.462 0.324 0.102

***

Record 11
# LuOs2 (meta-GGA SCAN, PBEsol geometry)
# Final energy (eV/atom): -66.91
# Energy of formation from the pure elements (meV/atom): -545.0
data_LuOs2
_chemical_formula_sum 'Lu4 Os8'
_symmetry_space_group_name_H-M 'P 63/m m c'
_symmetry_Int_Tables_number 194
_symmetry_space_group_name_Hall '-P 6c 2c'
_cell_length_a 5.2326
_cell_length_b 5.2326
_cell_length_c 8.6343
_cell_angle_alpha 90.00
_cell_angle_beta 90.00
_cell_angle_gamma 120.00
loop_
_atom_site_label
_atom_site_type_symbol
_atom_site_fract_x
_atom_site_fract_y
_atom_site_fract_z
Lu1 Lu 0.3333 0.6667 0.0657
Os1 Os 0.0000 0.0000 0.0000
Os2 Os 0.1725 0.3451 0.7500

***

Record 12
# LuSi2Os2 (meta-GGA SCAN, PBEsol geometry)
# Final energy (eV/atom): -44.61
# Raw formation energy (eV per formula unit): -3.9
data_LuSi2Os2
_chemical_formula_sum 'Lu2 Si4 Os4'
_symmetry_space_group_name_H-M 'I 4/m m m'
_symmetry_Int_Tables_number 139
_symmetry_space_group_name_Hall '-I 4 2'
_cell_length_a 4.104
_cell_length_b 4.104
_cell_length_c 9.508
_cell_angle_alpha 90.00
_cell_angle_beta 90.00
_cell_angle_gamma 90.00
loop_
_atom_site_label
_atom_site_type_symbol
_atom_site_fract_x
_atom_site_fract_y
_atom_site_fract_z
Lu1 Lu 0.000 0.000 0.000
Si1 Si 0.000 0.000 0.375
Os1 Os 0.000 0.500 0.250